Compound: LiScNiGe
Source: OQMD
Functional: GGA-PBE
Structure: relaxed

Cell: 6.0654 6.0654 6.0654 Å, 90.00 90.00 90.00°
Space group F-43m (No. 216)
One atom of each set of equivalent atoms:
1 Li 0.0000 0.0000 0.0000 (multiplicity 4)
2 Sc 0.2500 0.2500 0.7500 (multiplicity 4)
3 Ni 0.0000 0.0000 0.5000 (multiplicity 4)
4 Ge 0.2500 0.2500 0.2500 (multiplicity 4)

Calculated values
DFT total energy   -83.77 eV for the cell shown
Magnetic moment   0.00 μB/f.u.